Entry 1:
The following is a PBE calculation of a relaxed LaSmTmCo crystal, from the Alexandria database.

Unit cell a=14.8806 b=4.2923 c=3.5577 alpha=90.00 beta=90.05 gamma=90.00
Last column: nearest neighbours and their distance in Å.
Space group Cm (No. 8)
One atom of each set of equivalent atoms:
La 0.0000 0.0000 0.0000 x2  1 Co 2.57
Sm 0.1717 0.5000 0.5007 x2  2 Co 2.92-2.93
Tm 0.3448 0.0000 0.4994 x2  4 Co 2.80
Co 0.3276 0.5000 0.9997 x2  1 La 2.57, 4 Tm 2.80

Energy, eV per atom: -5.308
Magnetization, μB/atom: 0.00


Entry 2:
The following is a PBE calculation of a relaxed LaSmYCo crystal, from the Alexandria database.

Unit cell a=3.5541 b=4.8683 c=13.0063 alpha=90.00 beta=90.00 gamma=90.00
Last column: nearest neighbours and their distance in Å.
Space group Amm2 (No. 38)
One atom of each set of equivalent atoms:
La 0.0000 0.0000 0.0000 x2  1 Co 2.39
Sm 0.5000 0.0000 0.6526 x2  2 Co 2.77
Y 0.5000 0.0000 0.3351 x2  4 Co 3.02
Co 0.0000 0.0000 0.8160 x2  1 La 2.39

Energy, eV per atom: -5.798
Magnetization, μB/atom: 0.00


Entry 3:
The following is a PBE calculation of a relaxed La4CoSn crystal, from the Alexandria database.

Unit cell a=17.2920 b=7.1577 c=6.1382 alpha=90.00 beta=109.19 gamma=90.00
Last column: nearest neighbours and their distance in Å.
Space group C2/m (No. 12)
One atom of each set of equivalent atoms:
La 0.0000 0.2415 0.0000 x4  2 Co 2.73
La 0.1197 0.2445 0.6125 x8  1 Co 2.58
La 0.1980 0.5000 0.2015 x4  1 Co 3.25, 2 La 3.45, 4 Sn 3.55-3.58
Co 0.0329 0.5000 0.3448 x4  1 Co 2.52, 4 La 2.58-2.73
Sn 0.1924 0.0000 0.1971 x4  12 La 3.55-3.81

Energy, eV per atom: -5.508
Magnetization, μB/atom: 0.00


Entry 4:
The following is a PBE calculation of a relaxed La3Co4Sn13 crystal, from the Alexandria database.

Unit cell a=9.6876 b=9.6876 c=9.6876 alpha=90.00 beta=90.00 gamma=90.00
Last column: nearest neighbours and their distance in Å.
Space group Pm-3n (No. 223)
One atom of each set of equivalent atoms:
La 0.0000 0.2500 0.5000 x6  12 Sn 3.35-3.45, 4 Co 3.43
Co 0.2500 0.2500 0.2500 x8  6 Sn 2.63
Sn 0.0000 0.0000 0.0000 x2  12 Sn 3.29
Sn 0.0000 0.3014 0.1577 x24  2 Co 2.63

Energy, eV per atom: -5.166
Magnetization, μB/atom: 0.00


Entry 5:
The following is a PBE calculation of a relaxed La5Co2Sn crystal, from the Alexandria database.

Unit cell a=7.9743 b=7.9743 c=14.0013 alpha=90.00 beta=90.00 gamma=90.00
Last column: nearest neighbours and their distance in Å.
Space group I4/mcm (No. 140)
One atom of each set of equivalent atoms:
La 0.0000 0.0000 0.0000 x4  4 Co 3.08
La 0.1591 0.3409 0.1320 x16  3 Co 2.93-3.02
Co 0.1393 0.3607 0.5000 x8  8 La 2.93-3.08, 1 Co 3.14
Sn 0.0000 0.0000 0.2500 x4  10 La 3.43-3.50

Energy, eV per atom: -5.664
Magnetization, μB/atom: 0.00


Entry 6:
The following is a PBE calculation of a relaxed La2CoSn3 crystal, from the Alexandria database.

Unit cell a=11.4994 b=4.6854 c=7.6432 alpha=90.00 beta=130.91 gamma=90.00
Last column: nearest neighbours and their distance in Å.
Space group Cm (No. 8)
One atom of each set of equivalent atoms:
La 0.0000 0.0000 0.0000 x2  1 Co 3.02, 2 Sn 3.24
La 0.1299 0.0000 0.5911 x2  9 Sn 3.29-3.57, 3 Co 3.49-3.62
Co 0.2597 0.5000 0.0487 x2  4 Sn 2.53-2.65
Sn 0.2536 0.5000 0.3893 x2  1 Co 2.65
Sn 0.3693 0.0000 0.1722 x2  2 Co 2.53
Sn 0.4756 0.0000 0.6848 x2  1 Co 2.55

Energy, eV per atom: -5.374
Magnetization, μB/atom: 0.00


Entry 7:
The following is a PBE calculation of a relaxed La12CoSn6 crystal, from the Alexandria database.

Unit cell a=12.5717 b=12.5717 c=14.5360 alpha=90.00 beta=90.00 gamma=120.00
Last column: nearest neighbours and their distance in Å.
Space group R-3 (No. 148, hexagonal axes)
One atom of each set of equivalent atoms:
La 0.0323 0.8372 0.3870 x18  4 Sn 3.27-3.36
La 0.0367 0.1923 0.8869 x18  1 Co 2.77
Co 0.0000 0.0000 0.0000 x3  6 La 2.77
Sn 0.0055 0.6114 0.2517 x18  8 La 3.27-3.47

Energy, eV per atom: -5.250
Magnetization, μB/atom: 0.00


Entry 8:
The following is a PBE calculation of a relaxed La5CoSn2 crystal, from the Alexandria database.

Unit cell a=7.4940 b=7.4940 c=9.2347 alpha=90.00 beta=90.00 gamma=90.00
Last column: nearest neighbours and their distance in Å.
Space group I4mm (No. 107)
One atom of each set of equivalent atoms:
La 0.0000 0.0000 0.0000 x2  1 Co 2.49
La 0.2491 0.2491 0.2387 x8  1 Co 2.66
Co 0.0000 0.0000 0.7303 x2  5 La 2.49-2.66
Sn 0.0000 0.5000 0.4922 x4  10 La 3.49-3.75

Energy, eV per atom: -5.309
Magnetization, μB/atom: 0.00


Entry 9:
The following is a PBE calculation of a relaxed LaCo2Sn8 crystal, from the Alexandria database.

Unit cell a=6.3095 b=6.3095 c=7.9609 alpha=90.00 beta=90.00 gamma=90.00
Last column: nearest neighbours and their distance in Å.
Space group P4/mmm (No. 123)
One atom of each set of equivalent atoms:
La 0.0000 0.0000 0.0000 x1  8 Sn 3.34
Co 0.0000 0.5000 0.5000 x2  8 Sn 2.69
Sn 0.2511 0.2511 0.3107 x8  2 Co 2.69, 1 Sn 3.01

Energy, eV per atom: -4.694
Magnetization, μB/atom: 0.00


Entry 10:
The following is a PBE calculation of a relaxed LaCoSn crystal, from the Alexandria database.

Unit cell a=6.6246 b=6.6246 c=6.6246 alpha=90.00 beta=90.00 gamma=90.00
Last column: nearest neighbours and their distance in Å.
Space group F-43m (No. 216)
One atom of each set of equivalent atoms:
La 0.0000 0.0000 0.0000 x4  4 Co 2.87
Co 0.2500 0.2500 0.7500 x4  4 Sn 2.87, 4 La 2.87
Sn 0.0000 0.0000 0.5000 x4  4 Co 2.87

Energy, eV per atom: -5.656
Magnetization, μB/atom: 0.42


Entry 11:
The following is a PBE calculation of a relaxed La6Co2Sn crystal, from the Alexandria database.

Unit cell a=10.2758 b=5.4198 c=9.3140 alpha=90.00 beta=97.05 gamma=90.00
Last column: nearest neighbours and their distance in Å.
Space group C2/m (No. 12)
One atom of each set of equivalent atoms:
La 0.0563 0.0000 0.3567 x4  4 La 3.04-3.29, 3 Co 3.12-3.20, 1 Sn 3.30
La 0.1258 0.5000 0.6453 x4  1 Co 2.76
La 0.1911 0.5000 0.1259 x4  1 Co 2.36
Co 0.2231 0.5000 0.3814 x4  1 La 2.36
Sn 0.0000 0.0000 0.0000 x2  8 La 3.30-3.52

Energy, eV per atom: -5.547
Magnetization, μB/atom: 0.00


Entry 12:
The following is a PBE calculation of a relaxed La6Co2Sn crystal, from the Alexandria database.

Unit cell a=9.4338 b=10.4414 c=10.6748 alpha=90.00 beta=90.00 gamma=90.00
Last column: nearest neighbours and their distance in Å.
Space group Immm (No. 71)
One atom of each set of equivalent atoms:
La 0.0000 0.2031 0.2256 x8  1 Co 2.53
La 0.1840 0.5000 0.1664 x8  1 Co 2.65
La 0.1988 0.3283 0.5000 x8  3 Co 3.03-3.04, 1 Sn 3.36
Co 0.0000 0.2762 0.0000 x4  2 La 2.53
Co 0.0000 0.5000 0.3542 x4  2 La 2.65
Sn 0.0000 0.0000 0.0000 x2  2 Co 2.88, 4 La 3.21
Sn 0.0000 0.0000 0.5000 x2  8 La 3.47-3.62

Energy, eV per atom: -5.597
Magnetization, μB/atom: 0.00


Entry 13:
The following is a PBE calculation of a relaxed La8Co2Sn crystal, from the Alexandria database.

Unit cell a=9.3579 b=14.0115 c=5.1497 alpha=90.00 beta=100.55 gamma=90.00
Last column: nearest neighbours and their distance in Å.
Space group C2/m (No. 12)
One atom of each set of equivalent atoms:
La 0.0000 0.2358 0.0000 x4  2 Co 2.65
La 0.1140 0.0000 0.7935 x4  2 Co 3.17, 4 La 3.28-3.37
La 0.1864 0.3725 0.5561 x8  2 Co 3.06-3.13, 1 La 3.34
Co 0.0000 0.1918 0.5000 x4  2 La 2.65
Sn 0.0000 0.5000 0.0000 x2  12 La 3.55-3.70

Energy, eV per atom: -5.399
Magnetization, μB/atom: 0.00


Entry 14:
The following is a PBE calculation of a relaxed La12Co2Sn5 crystal, from the Alexandria database.

Unit cell a=17.8095 b=7.9477 c=10.0886 alpha=90.00 beta=105.96 gamma=90.00
Last column: nearest neighbours and their distance in Å.
Space group C2/m (No. 12)
One atom of each set of equivalent atoms:
La 0.0023 0.0000 0.1735 x4  2 Co 3.06, 1 Sn 3.31
La 0.0015 0.5000 0.7603 x4  2 Co 2.83
La 0.1488 0.2656 0.0708 x8  1 Co 2.58
La 0.1524 0.2418 0.5805 x8  4 Sn 3.21-3.29
Co 0.0000 0.3169 0.0000 x4  4 La 2.58-2.83
Sn 0.0000 0.0000 0.5000 x2  6 La 3.24-3.31
Sn 0.1917 0.5000 0.3586 x4  7 La 3.25-3.36
Sn 0.1973 0.5000 0.8355 x4  7 La 3.21-3.38

Energy, eV per atom: -5.288
Magnetization, μB/atom: 0.10


Entry 15:
The following is a PBE calculation of a relaxed LaCo2Sn4 crystal, from the Alexandria database.

Unit cell a=18.4539 b=4.4476 c=7.1020 alpha=90.00 beta=90.00 gamma=90.00
Last column: nearest neighbours and their distance in Å.
Space group Pnma (No. 62)
One atom of each set of equivalent atoms:
La 0.1408 0.2500 0.0060 x4  8 Sn 3.16-3.35, 4 Co 3.48-3.50
Co 0.0352 0.7500 0.7483 x4  7 Sn 2.63-2.87
Co 0.2133 0.2500 0.4864 x4  7 Sn 2.66-2.83
Sn 0.0279 0.7500 0.1403 x4  3 Co 2.63-2.79
Sn 0.0696 0.2500 0.5090 x4  4 Co 2.66-2.87
Sn 0.1807 0.7500 0.6978 x4  4 Co 2.71-2.83, 1 Sn 2.95
Sn 0.1990 0.7500 0.2845 x4  3 Co 2.66-2.67, 1 Sn 2.95

Energy, eV per atom: -5.353
Magnetization, μB/atom: 0.00


Entry 16:
The following is a PBE calculation of a relaxed LaCoSn crystal, from the Alexandria database.

Unit cell a=15.2768 b=15.2768 c=6.5725 alpha=90.00 beta=90.00 gamma=120.00
Last column: nearest neighbours and their distance in Å.
Space group R-3 (No. 148, hexagonal axes)
One atom of each set of equivalent atoms:
La 0.0571 0.8592 0.2349 x18  2 Co 2.52-2.58
Co 0.0170 0.3995 0.2655 x18  2 La 2.52-2.58, 4 Sn 2.68-2.78, 2 Co 2.70
Sn 0.0648 0.5938 0.3786 x18  4 Co 2.68-2.78

Energy, eV per atom: -5.735
Magnetization, μB/atom: 0.00


Entry 17:
The following is a PBE calculation of a relaxed La2CoSn4 crystal, from the Alexandria database.

Unit cell a=4.5857 b=4.6185 c=17.2900 alpha=90.00 beta=90.00 gamma=90.00
Last column: nearest neighbours and their distance in Å.
Space group Amm2 (No. 38)
One atom of each set of equivalent atoms:
La 0.0000 0.0000 0.0000 x2  10 Sn 3.32-3.50, 1 Co 3.51
La 0.5000 0.0000 0.2079 x2  10 Sn 3.39-3.73, 4 Co 3.60
Co 0.0000 0.0000 0.7970 x2  5 Sn 2.50-2.56
Sn 0.0000 0.0000 0.3609 x2  2 Co 2.56
Sn 0.0000 0.0000 0.6523 x2  1 Co 2.50
Sn 0.5000 0.0000 0.5386 x2  2 Sn 3.02, 4 La 3.32
Sn 0.5000 0.0000 0.8594 x2  2 Co 2.53

Energy, eV per atom: -5.319
Magnetization, μB/atom: 0.00


Entry 18:
The following is a PBE calculation of a relaxed La3Co3Sn crystal, from the Alexandria database.

Unit cell a=10.1497 b=10.1497 c=3.8161 alpha=90.00 beta=90.00 gamma=120.00
Last column: nearest neighbours and their distance in Å.
Space group P6_3/m (No. 176)
One atom of each set of equivalent atoms:
La 0.0501 0.6815 0.2500 x6  4 Co 2.81-3.08
Co 0.0180 0.8670 0.7500 x6  6 Co 2.40-2.51
Sn 0.3333 0.6667 0.7500 x2  9 La 3.52-3.73, 2 Sn 3.82

Energy, eV per atom: -5.980
Magnetization, μB/atom: 0.22


Entry 19:
The following is a PBE calculation of a relaxed La3Co2Sn7 crystal, from the Alexandria database.

Unit cell a=4.6293 b=4.6400 c=14.0773 alpha=90.00 beta=99.44 gamma=90.00
Last column: nearest neighbours and their distance in Å.
Space group P2/m (No. 10)
One atom of each set of equivalent atoms:
La 0.0000 0.0000 0.0000 x1  12 Sn 3.28-3.42, 2 Co 3.54
La 0.3152 0.5000 0.6309 x2  10 Sn 3.40-3.58, 4 Co 3.64
Co 0.1268 0.0000 0.2550 x2  5 Sn 2.50-2.54
Sn 0.0902 0.5000 0.1806 x2  2 Co 2.54
Sn 0.2173 0.0000 0.4348 x2  1 Co 2.50
Sn 0.4103 0.0000 0.8194 x2  2 Co 2.53
Sn 0.5000 0.5000 0.0000 x1  4 La 3.28, 8 Sn 3.41-3.42

Energy, eV per atom: -5.329
Magnetization, μB/atom: 0.00


The evaluated DOS(E_F) for the records listed, in turn: 4.6; 4.3; 5.6; 8.2; 8.8; 5.1; 25.8; 8.6; 9.3; 5.4; 9.2; 6.2; 14.5; 18.5; 3.1; 1.6; 4.3; 9.3; 9.5 states/eV/f.u..